1.
## CdH6C8I2N4Cl2 (PBE)

Data for a relaxed structure of CdH6C8I2N4Cl2.

Properties
- Uncorrected energy: -5.905 eV/atom
- V: 14.917 Å³ per atom

Cell lengths 3.930, 10.209, 17.525 Å; angles 90.00, 102.57, 90.00 degrees
Space group P2_1/c (No. 14)
Asymmetric unit:
Cd: 0.000 0.000 0.000 [2 per cell]
H: 0.022 0.234 0.719 [4 per cell]
H: 0.066 0.047 0.815 [4 per cell]
H: 0.242 0.701 0.025 [4 per cell]
C: 0.013 0.645 0.671 [4 per cell]
C: 0.037 0.749 0.724 [4 per cell]
C: 0.182 0.715 0.083 [4 per cell]
C: 0.203 0.613 0.137 [4 per cell]
I: 0.354 0.075 0.608 [4 per cell]
N: 0.085 0.665 0.600 [4 per cell]
N: 0.130 0.630 0.207 [4 per cell]
Cl: 0.426 0.627 0.426 [4 per cell]

***

2.
## CdH16C4N2Cl4 (PBE)

Data for a relaxed structure of CdH16C4N2Cl4.

Properties
- Uncorrected energy: -4.749 eV/atom
- V: 11.217 Å³ per atom

Cell lengths 7.309, 22.204, 7.464 Å; angles 90.00, 90.00, 90.00 degrees
Space group Pbca (No. 61)
Asymmetric unit:
Cd: 0.000 0.000 0.000 [4 per cell]
H: 0.002 0.160 0.298 [8 per cell]
H: 0.004 0.103 0.659 [8 per cell]
H: 0.004 0.742 0.525 [8 per cell]
H: 0.009 0.716 0.822 [8 per cell]
H: 0.034 0.068 0.458 [8 per cell]
H: 0.169 0.600 0.987 [8 per cell]
H: 0.187 0.162 0.453 [8 per cell]
H: 0.198 0.713 0.972 [8 per cell]
C: 0.037 0.162 0.441 [8 per cell]
C: 0.048 0.715 0.964 [8 per cell]
N: 0.027 0.604 0.978 [8 per cell]
Cl: 0.027 0.115 0.946 [8 per cell]
Cl: 0.215 0.016 0.286 [8 per cell]